Record 1
Density functional theory data (GGA-PBE) for an optimized crystal structure of TiIn2Ag.

Output
* energy: -4.11 eV/atom
* energy relative to the lowest polymorph listed for this composition: 29 meV per atom
* M_tot: 0.0 μB/f.u.

Lattice parameters (Å, degrees): 3.080 3.080 8.327 90.00 90.00 90.00
Fractional positions:
Ti 0.500 0.500 0.500
Ag 0.500 0.500 0.000
In 0.000 0.000 0.744
In 0.000 0.000 0.256

Record 2
Density functional theory data (GGA-PBE) for an optimized crystal structure of TiIn3Ag.

Output
* energy: -3.03 eV/atom
* M_tot: 0.0 μB/f.u.

Lattice parameters (Å, degrees): 5.191 5.191 5.191 90.00 90.00 90.00
Fractional positions:
Ti 0.500 0.500 0.500
Ag 0.000 0.000 0.000
In 0.000 0.500 0.000
In 0.000 0.000 0.500
In 0.500 0.000 0.000

Record 3
Density functional theory data (GGA-PBE) for an optimized crystal structure of TiInAg2.

Output
* energy: -4.02 eV/atom
* M_tot: 1.0 μB/f.u.

Lattice parameters (Å, degrees): 3.511 3.511 6.211 90.00 90.00 90.00
Each line ends with the local moment (μB).
Fractional positions:
Ti 0.500 0.500 0.000  0.76
Ag 0.000 0.000 0.769  0.03
Ag 0.000 0.000 0.231  0.03
In 0.500 0.500 0.500  -0.01

Record 4
Density functional theory data (GGA-PBE) for an optimized crystal structure of TmTiInAg.

Output
* energy: -4.63 eV/atom
* M_tot: 1.4 μB/f.u.

Lattice parameters (Å, degrees): 4.961 4.961 4.961 60.00 60.00 60.00
Each line ends with the local moment (μB).
Fractional positions:
Tm 0.750 0.750 0.750  0.14
Ti 0.250 0.250 0.250  1.00
Ag 0.500 0.500 0.500  0.01
In 0.000 0.000 0.000  -0.03

Record 5
Density functional theory data (GGA-PBE) for an optimized crystal structure of TiV2InAg.

Output
* energy: -5.30 eV/atom
* M_tot: 1.7 μB/f.u.

Lattice parameters (Å, degrees): 4.412 5.223 4.412 90.00 90.00 90.00
Each line ends with the local moment (μB).
Fractional positions:
V 0.000 0.000 0.500  0.68
V 0.500 0.000 0.000  0.88
Ti 0.000 0.000 0.000  -0.10
Ag 0.500 0.500 0.500  0.01
In 0.000 0.500 0.000  -0.02

Record 6
Density functional theory data (GGA-PBE) for an optimized crystal structure of YTiInAg.

Output
* energy: -5.13 eV/atom
* M_tot: 1.4 μB/f.u.

Lattice parameters (Å, degrees): 5.006 5.006 5.006 60.00 60.00 60.00
Each line ends with the local moment (μB).
Fractional positions:
Y 0.750 0.750 0.750  0.10
Ti 0.250 0.250 0.250  1.02
Ag 0.500 0.500 0.500  0.01
In 0.000 0.000 0.000  -0.04

Record 7
Density functional theory data (GGA-PBE) for an optimized crystal structure of TiZnInAg.

Output
* energy: -3.78 eV/atom
* energy relative to the lowest polymorph listed for this composition: 0 meV per atom
* M_tot: 0.0 μB/f.u.

Lattice parameters (Å, degrees): 3.022 3.022 7.792 90.00 90.00 90.00
Fractional positions:
Ti 0.000 0.000 0.097
Zn 0.500 0.500 0.320
In 0.500 0.500 0.823
Ag 0.000 0.000 0.545

Record 8
Density functional theory data (GGA-PBE) for an optimized crystal structure of TiZnInAg.

Output
* energy: -3.64 eV/atom
* energy relative to the lowest polymorph listed for this composition: 138 meV per atom
* M_tot: 0.3 μB/f.u.

Lattice parameters (Å, degrees): 4.656 4.656 4.656 60.00 60.00 60.00
Each line ends with the local moment (μB).
Fractional positions:
Zn 0.000 0.000 0.000  0.00
Ti 0.250 0.250 0.250  0.24
Ag 0.500 0.500 0.500  0.00
In 0.750 0.750 0.750  -0.01

Record 9
Density functional theory data (GGA-PBE) for an optimized crystal structure of ZrTiInAg.

Output
* energy: -5.56 eV/atom
* M_tot: 0.0 μB/f.u.

Lattice parameters (Å, degrees): 4.834 4.834 4.834 60.00 60.00 60.00
Fractional positions:
Ti 0.250 0.250 0.250
Zr 0.750 0.750 0.750
Ag 0.500 0.500 0.500
In 0.000 0.000 0.000

Record 10
Density functional theory data (GGA-PBE) for an optimized crystal structure of TlIn5Ag.

Output
* energy: -2.66 eV/atom
* M_tot: 0.0 μB/f.u.

Lattice parameters (Å, degrees): 4.784 4.784 8.311 90.00 90.00 90.00
Fractional positions:
Tl 0.000 0.000 0.000
In 0.500 0.500 0.000
In 0.500 0.000 0.296
In 0.000 0.500 0.296
In 0.500 0.000 0.704
In 0.000 0.500 0.704
Ag 0.000 0.000 0.500

Record 11
Density functional theory data (GGA-PBE) for an optimized crystal structure of Tl2In12Ag.

Output
* energy: -2.65 eV/atom
* M_tot: 0.0 μB/f.u.

Lattice parameters (Å, degrees): 6.708 6.708 19.012 90.00 90.00 90.00
Fractional positions:
Tl 0.500 0.000 0.260
Tl 0.000 0.500 0.260
Tl 0.000 0.500 0.740
Tl 0.500 0.000 0.740
In 0.500 0.500 0.812
In 0.000 0.000 0.812
In 0.750 0.750 0.912
In 0.250 0.750 0.912
In 0.000 0.000 0.339
In 0.250 0.750 0.088
In 0.830 0.330 0.569
In 0.500 0.500 0.339
In 0.250 0.250 0.912
In 0.750 0.750 0.088
In 0.330 0.170 0.569
In 0.670 0.170 0.431
In 0.000 0.000 0.661
In 0.170 0.330 0.431
In 0.250 0.250 0.088
In 0.830 0.670 0.431
In 0.670 0.830 0.569
In 0.000 0.000 0.188
In 0.170 0.670 0.569
In 0.500 0.500 0.661
In 0.750 0.250 0.912
In 0.500 0.500 0.188
In 0.330 0.830 0.431
In 0.750 0.250 0.088
Ag 0.500 0.000 0.000
Ag 0.000 0.500 0.000

Record 12
Density functional theory data (GGA-PBE) for an optimized crystal structure of TlIn4Ag2.

Output
* energy: -2.71 eV/atom
* M_tot: 0.0 μB/f.u.

Lattice parameters (Å, degrees): 4.664 7.918 19.096 90.00 90.00 90.00
Fractional positions:
Tl 0.750 0.953 0.645
Tl 0.250 0.047 0.355
Tl 0.250 0.453 0.855
Tl 0.750 0.547 0.145
Ag 0.250 0.744 0.540
Ag 0.750 0.256 0.460
Ag 0.750 0.244 0.960
Ag 0.250 0.756 0.040
Ag 0.250 0.949 0.777
Ag 0.750 0.051 0.223
Ag 0.750 0.449 0.723
Ag 0.250 0.551 0.277
In 0.250 0.250 0.686
In 0.750 0.750 0.314
In 0.750 0.750 0.814
In 0.250 0.250 0.186
In 0.250 0.654 0.687
In 0.750 0.346 0.313
In 0.750 0.154 0.813
In 0.250 0.846 0.187
In 0.250 0.129 0.533
In 0.750 0.871 0.467
In 0.750 0.629 0.967
In 0.250 0.371 0.033
In 0.250 0.494 0.430
In 0.750 0.506 0.570
In 0.750 0.994 0.070
In 0.250 0.006 0.930

Record 13
Density functional theory data (GGA-PBE) for an optimized crystal structure of Tl2In2Ag.

Output
* energy: -2.57 eV/atom
* energy relative to the lowest polymorph listed for this composition: 0 meV per atom
* M_tot: 0.0 μB/f.u.

Lattice parameters (Å, degrees): 3.512 3.512 12.723 82.07 82.07 60.00
Fractional positions:
Tl 0.872 0.872 0.383
Tl 0.128 0.128 0.617
In 0.390 0.390 0.830
In 0.610 0.610 0.170
Ag 0.000 0.000 0.000

Record 14
Density functional theory data (GGA-PBE) for an optimized crystal structure of TlIn2Ag.

Output
* energy: -2.54 eV/atom
* M_tot: 0.0 μB/f.u.

Lattice parameters (Å, degrees): 5.258 5.258 5.258 60.00 60.00 60.00
Fractional positions:
Tl 0.250 0.250 0.250
Ag 0.500 0.500 0.500
In 0.000 0.000 0.000
In 0.750 0.750 0.750

Record 15
Density functional theory data (GGA-PBE) for an optimized crystal structure of TlIn7Ag5.

Output
* energy: -2.76 eV/atom
* M_tot: 0.0 μB/f.u.

Lattice parameters (Å, degrees): 5.898 7.728 7.728 82.15 67.57 67.57
Fractional positions:
Tl 0.009 0.991 0.991
In 0.650 0.350 0.350
In 0.345 0.655 0.655
In 0.992 0.351 0.665
In 0.992 0.665 0.351
In 0.269 0.231 0.231
In 0.506 0.797 0.191
In 0.506 0.191 0.797
Ag 0.499 0.998 0.502
Ag 0.002 0.998 0.502
Ag 0.499 0.502 0.998
Ag 0.002 0.502 0.998
Ag 0.730 0.770 0.770

Record 16
Density functional theory data (GGA-PBE) for an optimized crystal structure of TlIn3Ag.

Output
* energy: -2.50 eV/atom
* energy relative to the lowest polymorph listed for this composition: 161 meV per atom
* M_tot: 0.0 μB/f.u.

Lattice parameters (Å, degrees): 5.395 5.395 5.395 90.00 90.00 90.00
Fractional positions:
Tl 0.500 0.500 0.500
Ag 0.000 0.000 0.000
In 0.000 0.500 0.000
In 0.000 0.000 0.500
In 0.500 0.000 0.000

Record 17
Density functional theory data (GGA-PBE) for an optimized crystal structure of Tl16In12Ag.

Output
* energy: -2.51 eV/atom
* M_tot: 0.0 μB/f.u.

Lattice parameters (Å, degrees): 10.271 10.271 10.286 108.98 108.98 109.27
Fractional positions:
Tl 0.375 0.375 0.346
Tl 0.998 0.998 0.001
Tl 0.001 0.001 0.644
Tl 0.317 0.317 0.706
Tl 0.670 0.402 0.003
Tl 0.598 0.286 0.600
Tl 0.003 0.681 0.398
Tl 0.998 0.636 0.002
Tl 0.706 0.326 0.312
Tl 0.393 0.996 0.675
Tl 0.996 0.393 0.675
Tl 0.326 0.706 0.312
Tl 0.636 0.998 0.002
Tl 0.681 0.003 0.398
Tl 0.286 0.598 0.600
Tl 0.402 0.670 0.003
In 0.802 0.802 0.190
In 0.640 0.640 0.828
In 0.360 0.179 0.991
In 0.820 0.631 0.630
In 0.182 0.997 0.362
In 0.367 0.996 0.184
In 0.179 0.803 0.811
In 0.803 0.179 0.811
In 0.996 0.367 0.184
In 0.997 0.182 0.362
In 0.631 0.820 0.630
In 0.179 0.360 0.991
Ag 0.659 0.659 0.348

Record 18
Density functional theory data (GGA-PBE) for an optimized crystal structure of TlIn2Ag.

Output
* energy: -2.60 eV/atom
* M_tot: 0.0 μB/f.u.

Lattice parameters (Å, degrees): 4.917 3.638 5.971 76.58 90.00 90.00
Fractional positions:
Tl 0.500 0.250 0.250
Ag 0.500 0.750 0.750
In 0.000 0.919 0.978
In 0.000 0.581 0.522

Record 19
Density functional theory data (GGA-PBE) for an optimized crystal structure of TlIn2Ag2.

Output
* energy: -2.67 eV/atom
* energy relative to the lowest polymorph listed for this composition: 0 meV per atom
* M_tot: 0.0 μB/f.u.

Lattice parameters (Å, degrees): 8.521 8.521 3.252 90.00 90.00 90.00
Fractional positions:
Tl 0.000 0.000 0.000
Tl 0.500 0.500 0.000
Ag 0.377 0.877 0.000
Ag 0.877 0.623 0.000
Ag 0.623 0.123 0.000
Ag 0.123 0.377 0.000
In 0.173 0.673 0.500
In 0.673 0.827 0.500
In 0.827 0.327 0.500
In 0.327 0.173 0.500

Record 20
Density functional theory data (GGA-PBE) for an optimized crystal structure of TlIn2Ag.

Output
* energy: -2.61 eV/atom
* M_tot: 0.0 μB/f.u.

Lattice parameters (Å, degrees): 6.821 6.821 5.838 58.39 58.39 26.68
Fractional positions:
Tl 0.250 0.250 0.250
Ag 0.750 0.750 0.750
In 0.026 0.026 0.972
In 0.474 0.474 0.528